Here is a relaxed In2TcW crystal from the Alexandria database. Energies are from GGA-PBE.

Summary:
- VASP energy (eV per atom) = -6.637
- E_form (kJ per mole of atoms) = 54.24
- M_tot (μB/f.u.) = 0.00

a = 5.010 Å, b = 5.010 Å, c = 5.010 Å
α = 130.16°, β = 130.16°, γ = 73.14°
Element x y z (fractional)
1 In 0.000 0.000 0.000
2 In 0.250 0.750 0.500
3 W 0.750 0.250 0.500
4 Tc 0.500 0.500 0.000

Here is a relaxed Mn7SnN2 crystal from the Alexandria database. Energies are from GGA-PBE.

Summary:
- formation energy (no corrections) (eV per atom) = -0.176
- VASP energy (eV per atom) = -8.660
- M_tot (μB/f.u.) = 0.42

a = 3.801 Å, b = 3.801 Å, c = 7.855 Å
α = 90.00°, β = 90.00°, γ = 90.00°
Element x y z (fractional)
1 Mn 0.500 0.500 0.000
2 Mn 0.500 0.000 0.273
3 Mn 0.500 0.500 0.500
4 Mn 0.500 0.000 0.727
5 Mn 0.000 0.000 0.500
6 Mn 0.000 0.500 0.273
7 Mn 0.000 0.500 0.727
8 N 0.500 0.500 0.747
9 N 0.500 0.500 0.253
10 Sn 0.000 0.000 0.000